# 1
{
  "formula": "PmHoErIn",
  "functional": "PBE-GGA",
  "state": "optimized geometry",
  "final_energy_ev_per_cell": -17.15,
  "n_ef_per_ev_fu": 6.251,
  "m_tot_mub_per_cell": 0.9,
  "de_polymorph_ev_per_fu": 0.000,
  "cell": [[5.4700, 0.0000, 0.0000], [2.7350, 4.7372, 0.0000], [2.7350, 1.5791, 4.4663]],
  "species": ["Er", "In", "Ho", "Pm"],
  "fractional_positions": [[0.0000, 0.0000, 0.0000], [0.2500, 0.2500, 0.2500], [0.7500, 0.7500, 0.7500], [0.5000, 0.5000, 0.5000]]
}

=====

# 2
{
  "formula": "CaMn2Si2",
  "functional": "PBE-GGA",
  "state": "optimized geometry",
  "final_energy_ev_per_cell": -63.98,
  "formation_energy_uncorrected_ev_per_atom": -0.16,
  "n_ef_per_ev_fu": 2.528,
  "m_tot_mub_per_cell": 7.8,
  "cell": [[7.3798, 0.0000, 0.0000], [0.0000, 7.3798, 0.0000], [0.0000, 0.0000, 2.6476]],
  "species": ["Si", "Mn", "Si", "Mn", "Ca", "Ca", "Mn", "Mn", "Si", "Si"],
  "fractional_positions": [[0.1643, 0.6643, 0.5000], [0.3759, 0.8759, 0.0000], [0.8357, 0.3357, 0.5000], [0.8759, 0.6241, 0.0000], [0.0000, 0.0000, 0.0000], [0.5000, 0.5000, 0.0000], [0.1241, 0.3759, 0.0000], [0.6241, 0.1241, 0.0000], [0.6643, 0.8357, 0.5000], [0.3357, 0.1643, 0.5000]]
}

=====

# 3
{
  "formula": "SrCeAlZn",
  "functional": "PBE-GGA",
  "state": "optimized geometry",
  "final_energy_ev_per_cell": -13.08,
  "n_ef_per_ev_fu": 9.153,
  "m_tot_mub_per_cell": 0.9,
  "cell": [[5.3631, 0.0000, 0.0000], [2.6816, 4.6446, 0.0000], [2.6816, 1.5482, 4.3790]],
  "species": ["Al", "Zn", "Sr", "Ce"],
  "fractional_positions": [[0.5000, 0.5000, 0.5000], [0.0000, 0.0000, 0.0000], [0.2500, 0.2500, 0.2500], [0.7500, 0.7500, 0.7500]]
}